Record 1
The following is a PBE calculation of an optimized crystal structure of CaTbAs2Rh5, from Alexandria via LeMat-Bulk. Values from VASP.

Geometry as Quantum ESPRESSO input:
```
&SYSTEM
  ibrav = 0, nat = 9, ntyp = 4
/
ATOMIC_SPECIES
Ca 40.08 Ca.upf
Tb 158.93 Tb.upf
As 74.92 As.upf
Rh 102.91 Rh.upf
CELL_PARAMETERS angstrom
-3.596 0.798 -2.151
-2.202 -2.320 2.822
-1.305 7.097 4.815
ATOMIC_POSITIONS crystal
Ca 0.000 0.000 0.500
Tb 0.000 0.000 0.000
As 0.500 0.500 0.149
As 0.500 0.500 0.851
Rh 0.000 0.500 0.269
Rh 0.500 0.000 0.269
Rh 0.000 0.500 0.731
Rh 0.500 0.000 0.731
Rh 0.500 0.500 0.500
```

Output
The value obtained for the total magnetic moment is 0.00 μB per formula unit. Its crystal system is tetragonal. The value obtained for the energy of formation from the pure elements is -609 meV/atom. As for the space group: P4/mmm (123).


Record 2
The following is a PBE calculation of an optimized crystal structure of CaTc2AsRh, from Alexandria via LeMat-Bulk. Values from VASP.

Geometry as Quantum ESPRESSO input:
```
&SYSTEM
  ibrav = 0, nat = 5, ntyp = 4
/
ATOMIC_SPECIES
As 74.92 As.upf
Ca 40.08 Ca.upf
Rh 102.91 Rh.upf
Tc 98.00 Tc.upf
CELL_PARAMETERS angstrom
-2.833 -3.678 0.240
2.153 -1.896 -3.639
2.986 -2.113 2.868
ATOMIC_POSITIONS crystal
As 0.000 0.000 0.000
Ca 0.500 0.500 0.500
Rh 0.000 0.500 0.000
Tc 0.000 0.000 0.500
Tc 0.500 0.000 0.000
```

Output
The value obtained for the total magnetic moment is 1.86 μB per formula unit. Its crystal system is tetragonal. The value obtained for the energy of formation from the pure elements is 430 meV/atom. As for the space group: P4/mmm (123).


Record 3
The following is a PBE calculation of an optimized crystal structure of CaTcAs2Rh, from Alexandria via LeMat-Bulk. Values from VASP.

Geometry as Quantum ESPRESSO input:
```
&SYSTEM
  ibrav = 0, nat = 5, ntyp = 4
/
ATOMIC_SPECIES
Ca 40.08 Ca.upf
Tc 98.00 Tc.upf
As 74.92 As.upf
Rh 102.91 Rh.upf
CELL_PARAMETERS angstrom
4.221 0.000 0.000
0.000 4.221 0.000
-2.110 -2.110 5.292
ATOMIC_POSITIONS crystal
Ca 0.000 0.000 0.000
Tc 0.750 0.250 0.500
As 0.632 0.632 0.263
As 0.368 0.368 0.737
Rh 0.250 0.750 0.500
```

Output
The value obtained for the total magnetic moment is 0.00 μB per formula unit. Its crystal system is tetragonal. The value obtained for the energy of formation from the pure elements is -691 meV/atom. As for the space group: I-4m2 (119).


Record 4
The following is a PBE calculation of an optimized crystal structure of Ca2ThAs3Rh4, from Alexandria via LeMat-Bulk. Values from VASP.

Geometry as Quantum ESPRESSO input:
```
&SYSTEM
  ibrav = 0, nat = 10, ntyp = 4
/
ATOMIC_SPECIES
Ca 40.08 Ca.upf
Th 232.04 Th.upf
As 74.92 As.upf
Rh 102.91 Rh.upf
CELL_PARAMETERS angstrom
-3.392 0.638 2.446
0.842 -3.574 2.100
6.348 5.782 7.295
ATOMIC_POSITIONS crystal
Ca 0.500 0.000 0.217
Ca 0.000 0.500 0.783
Th 0.500 0.500 0.500
As 0.000 0.000 0.500
As 0.500 0.000 0.874
As 0.000 0.500 0.126
Rh 0.500 0.500 0.000
Rh 0.000 0.000 0.000
Rh 0.500 0.000 0.658
Rh 0.000 0.500 0.342
```

Output
The value obtained for the total magnetic moment is 0.00 μB per formula unit. Its crystal system is tetragonal. The value obtained for the energy of formation from the pure elements is -831 meV/atom. As for the space group: P-4m2 (115).


Record 5
The following is a PBE calculation of an optimized crystal structure of Ca2TmAs3Rh4, from Alexandria via LeMat-Bulk. Values from VASP.

Geometry as Quantum ESPRESSO input:
```
&SYSTEM
  ibrav = 0, nat = 10, ntyp = 4
/
ATOMIC_SPECIES
Ca 40.08 Ca.upf
Tm 168.93 Tm.upf
As 74.92 As.upf
Rh 102.91 Rh.upf
CELL_PARAMETERS angstrom
4.124 0.000 0.000
0.000 4.124 0.000
0.000 0.000 11.230
ATOMIC_POSITIONS crystal
Ca 0.500 0.000 0.231
Ca 0.000 0.500 0.769
Tm 0.500 0.500 0.500
As 0.000 0.000 0.500
As 0.500 0.000 0.872
As 0.000 0.500 0.128
Rh 0.500 0.500 0.000
Rh 0.000 0.000 0.000
Rh 0.500 0.000 0.657
Rh 0.000 0.500 0.343
```

Output
The value obtained for the total magnetic moment is 0.00 μB per formula unit. Its crystal system is tetragonal. The value obtained for the energy of formation from the pure elements is -871 meV/atom. As for the space group: P-4m2 (115).


Record 6
The following is a PBE calculation of an optimized crystal structure of CaUAs2Rh5, from Alexandria via LeMat-Bulk. Values from VASP.

Geometry as Quantum ESPRESSO input:
```
&SYSTEM
  ibrav = 0, nat = 9, ntyp = 4
/
ATOMIC_SPECIES
Ca 40.08 Ca.upf
U 238.03 U.upf
As 74.92 As.upf
Rh 102.91 Rh.upf
CELL_PARAMETERS angstrom
-0.261 -2.670 -2.948
-2.665 -2.076 2.116
-8.444 6.032 -4.716
ATOMIC_POSITIONS crystal
Ca 0.500 0.500 0.500
U 0.000 0.000 0.000
As 0.000 0.000 0.293
As 0.000 0.000 0.707
Rh 0.000 0.000 0.500
Rh 0.000 0.500 0.842
Rh 0.500 0.000 0.158
Rh 0.000 0.500 0.158
Rh 0.500 0.000 0.842
```

Output
The value obtained for the total magnetic moment is 0.00 μB per formula unit. Its crystal system is tetragonal. The value obtained for the energy of formation from the pure elements is -377 meV/atom. As for the space group: P4/mmm (123).


Record 7
The following is a PBE calculation of an optimized crystal structure of Ca2UAs3Rh4, from Alexandria via LeMat-Bulk. Values from VASP.

Geometry as Quantum ESPRESSO input:
```
&SYSTEM
  ibrav = 0, nat = 10, ntyp = 4
/
ATOMIC_SPECIES
Ca 40.08 Ca.upf
U 238.03 U.upf
As 74.92 As.upf
Rh 102.91 Rh.upf
CELL_PARAMETERS angstrom
-3.677 1.907 0.438
-0.513 -1.839 3.702
5.071 8.632 4.991
ATOMIC_POSITIONS crystal
Ca 0.500 0.000 0.224
Ca 0.000 0.500 0.776
U 0.500 0.500 0.500
As 0.000 0.000 0.500
As 0.500 0.000 0.872
As 0.000 0.500 0.128
Rh 0.500 0.500 0.000
Rh 0.000 0.000 0.000
Rh 0.500 0.000 0.652
Rh 0.000 0.500 0.348
```

Output
The value obtained for the total magnetic moment is 2.24 μB per formula unit. Its crystal system is tetragonal. The value obtained for the energy of formation from the pure elements is -735 meV/atom. As for the space group: P-4m2 (115).


Record 8
The following is a PBE calculation of an optimized crystal structure of CaV2AsRh, from Alexandria via LeMat-Bulk. Values from VASP.

Geometry as Quantum ESPRESSO input:
```
&SYSTEM
  ibrav = 0, nat = 5, ntyp = 4
/
ATOMIC_SPECIES
As 74.92 As.upf
Rh 102.91 Rh.upf
Ca 40.08 Ca.upf
V 50.94 V.upf
CELL_PARAMETERS angstrom
4.558 0.000 0.000
0.000 4.643 0.000
0.000 0.000 4.558
ATOMIC_POSITIONS crystal
As 0.500 0.500 0.500
Rh 0.000 0.500 0.000
Ca 0.000 0.000 0.000
V 0.000 0.000 0.500
V 0.500 0.000 0.000
```

Output
The value obtained for the total magnetic moment is 0.00 μB per formula unit. Its crystal system is tetragonal. The value obtained for the energy of formation from the pure elements is 1953 meV/atom. As for the space group: P4/mmm (123).


Record 9
The following is a PBE calculation of an optimized crystal structure of Ca2AsRhW, from Alexandria via LeMat-Bulk. Values from VASP.

Geometry as Quantum ESPRESSO input:
```
&SYSTEM
  ibrav = 0, nat = 5, ntyp = 4
/
ATOMIC_SPECIES
As 74.92 As.upf
Rh 102.91 Rh.upf
Ca 40.08 Ca.upf
W 183.84 W.upf
CELL_PARAMETERS angstrom
5.354 0.000 0.000
0.000 4.681 0.000
0.000 0.000 5.354
ATOMIC_POSITIONS crystal
As 0.000 0.000 0.000
Rh 0.500 0.500 0.500
Ca 0.000 0.000 0.500
Ca 0.500 0.000 0.000
W 0.000 0.500 0.000
```

Output
The value obtained for the total magnetic moment is 1.51 μB per formula unit. Its crystal system is tetragonal. The value obtained for the energy of formation from the pure elements is 651 meV/atom. As for the space group: P4/mmm (123).


Record 10
The following is a PBE calculation of an optimized crystal structure of Ca2ZnAs2Rh5, from Alexandria via LeMat-Bulk. Values from VASP.

Geometry as Quantum ESPRESSO input:
```
&SYSTEM
  ibrav = 0, nat = 20, ntyp = 4
/
ATOMIC_SPECIES
Ca 40.08 Ca.upf
Zn 65.41 Zn.upf
As 74.92 As.upf
Rh 102.91 Rh.upf
CELL_PARAMETERS angstrom
-2.980 -1.268 -1.320
0.522 -7.639 6.157
-5.116 5.049 6.698
ATOMIC_POSITIONS crystal
Ca 0.000 0.672 0.172
Ca 0.000 0.328 0.828
Ca 0.000 0.172 0.328
Ca 0.000 0.828 0.672
Zn 0.000 0.000 0.000
Zn 0.000 0.500 0.500
As 0.000 0.128 0.628
As 0.000 0.872 0.372
As 0.000 0.628 0.872
As 0.000 0.372 0.128
Rh 0.500 0.205 0.067
Rh 0.500 0.795 0.933
Rh 0.500 0.067 0.795
Rh 0.500 0.705 0.433
Rh 0.500 0.933 0.205
Rh 0.500 0.295 0.567
Rh 0.500 0.567 0.705
Rh 0.500 0.433 0.295
Rh 0.500 0.500 0.000
Rh 0.500 0.000 0.500
```

Output
The value obtained for the total magnetic moment is 0.00 μB per formula unit. Its crystal system is tetragonal. The value obtained for the energy of formation from the pure elements is -597 meV/atom. As for the space group: P4/mbm (127).


| no. | V (Å³ per cell) |
| --- | --- |
| 1 | 157.8 |
| 2 | 100.1 |
| 3 | 94.3 |
| 4 | 201.6 |
| 5 | 191.0 |
| 6 | 181.1 |
| 7 | 194.1 |
| 8 | 96.5 |
| 9 | 134.2 |
| 10 | 337.7 |